Record 1
{"formula": "Ca3Al2", "functional": "PBE-GGA", "state": "optimized geometry", "lattice": [[8.620, 0.000, 0.000], [0.000, 8.620, 0.000], [0.000, 0.000, 7.756]], "species": ["Ca", "Ca", "Ca", "Ca", "Ca", "Ca", "Ca", "Ca", "Ca", "Ca", "Ca", "Ca", "Al", "Al", "Al", "Al", "Al", "Al", "Al", "Al"], "fractional_positions": [[0.000, 0.500, 0.250], [0.000, 0.500, 0.750], [0.151, 0.151, 0.000], [0.208, 0.208, 0.500], [0.292, 0.708, 0.000], [0.349, 0.651, 0.500], [0.500, 0.000, 0.250], [0.500, 0.000, 0.750], [0.651, 0.349, 0.500], [0.708, 0.292, 0.000], [0.792, 0.792, 0.500], [0.849, 0.849, 0.000], [0.115, 0.885, 0.315], [0.115, 0.885, 0.685], [0.385, 0.385, 0.185], [0.385, 0.385, 0.815], [0.615, 0.615, 0.185], [0.615, 0.615, 0.815], [0.885, 0.115, 0.315], [0.885, 0.115, 0.685]], "polymorph_energy_mev_per_atom": 0, "ef_ev_per_atom": -0.20}

***

Record 2
{"formula": "TaHg2Cl", "functional": "PBE-GGA", "state": "optimized geometry", "lattice": [[9.601, 0.000, 0.000], [0.000, 9.601, 0.000], [0.000, 0.000, 4.721]], "species": ["Ta", "Ta", "Ta", "Ta", "Hg", "Hg", "Hg", "Hg", "Hg", "Hg", "Hg", "Hg", "Cl", "Cl", "Cl", "Cl"], "fractional_positions": [[0.000, 0.000, 0.000], [0.000, 0.500, 0.250], [0.500, 0.000, 0.750], [0.500, 0.500, 0.500], [0.143, 0.250, 0.125], [0.250, 0.643, 0.375], [0.250, 0.857, 0.875], [0.357, 0.250, 0.625], [0.643, 0.750, 0.625], [0.750, 0.143, 0.875], [0.750, 0.357, 0.375], [0.857, 0.750, 0.125], [0.000, 0.000, 0.500], [0.000, 0.500, 0.750], [0.500, 0.000, 0.250], [0.500, 0.500, 0.000]], "e_form_raw_ev_per_fu": 1.53, "polymorph_energy_mev_per_atom": 522}

***

Record 3
{"formula": "KCrAs", "functional": "PBE-GGA", "state": "optimized geometry", "lattice": [[7.075, 0.000, 0.000], [0.000, 7.075, 0.000], [0.000, 0.000, 7.075]], "species": ["K", "K", "K", "K", "Cr", "Cr", "Cr", "Cr", "As", "As", "As", "As"], "fractional_positions": [[0.000, 0.000, 0.000], [0.000, 0.500, 0.500], [0.500, 0.000, 0.500], [0.500, 0.500, 0.000], [0.250, 0.250, 0.750], [0.250, 0.750, 0.250], [0.750, 0.250, 0.250], [0.750, 0.750, 0.750], [0.250, 0.250, 0.250], [0.250, 0.750, 0.750], [0.750, 0.250, 0.750], [0.750, 0.750, 0.250]], "polymorph_energy_mev_per_atom": 1277, "ef_ev_per_atom": 1.03}

***

Record 4
{"formula": "MgGe2Pt7Pb2", "functional": "PBE-GGA", "state": "optimized geometry", "lattice": [[2.789, -2.792, 0.000], [2.789, 2.792, 0.000], [-2.734, 0.000, 15.566]], "species": ["Mg", "Ge", "Ge", "Pt", "Pt", "Pt", "Pt", "Pt", "Pt", "Pt", "Pb", "Pb"], "fractional_positions": [[0.000, 0.000, 0.000], [0.388, 0.388, 0.768], [0.612, 0.612, 0.232], [0.064, 0.565, 0.132], [0.307, 0.307, 0.612], [0.435, 0.936, 0.868], [0.500, 0.500, 0.000], [0.565, 0.064, 0.132], [0.693, 0.693, 0.388], [0.936, 0.435, 0.868], [0.211, 0.211, 0.422], [0.789, 0.789, 0.578]], "ef_ev_per_atom": -0.39}

***

Record 5
{"formula": "CsAg2Au", "functional": "PBE-GGA", "state": "optimized geometry", "lattice": [[4.852, 0.000, 0.000], [-2.426, 4.202, 0.000], [0.000, 0.000, 19.227]], "species": ["Cs", "Cs", "Cs", "Ag", "Ag", "Ag", "Ag", "Ag", "Ag", "Au", "Au", "Au"], "fractional_positions": [[0.000, 0.000, 0.000], [0.333, 0.667, 0.667], [0.667, 0.333, 0.333], [0.000, 0.000, 0.180], [0.000, 0.000, 0.820], [0.333, 0.667, 0.487], [0.333, 0.667, 0.847], [0.667, 0.333, 0.153], [0.667, 0.333, 0.513], [0.000, 0.000, 0.500], [0.333, 0.667, 0.167], [0.667, 0.333, 0.833]], "polymorph_energy_mev_per_atom": 6, "ef_ev_per_atom": -0.08}

***

Record 6
{"formula": "NdGdTmSn", "functional": "PBE-GGA", "state": "optimized geometry", "lattice": [[7.736, 0.000, 0.000], [0.000, 7.736, 0.000], [0.000, 0.000, 7.736]], "species": ["Nd", "Nd", "Nd", "Nd", "Gd", "Gd", "Gd", "Gd", "Tm", "Tm", "Tm", "Tm", "Sn", "Sn", "Sn", "Sn"], "fractional_positions": [[0.000, 0.000, 0.000], [0.000, 0.500, 0.500], [0.500, 0.000, 0.500], [0.500, 0.500, 0.000], [0.000, 0.000, 0.500], [0.000, 0.500, 0.000], [0.500, 0.000, 0.000], [0.500, 0.500, 0.500], [0.250, 0.250, 0.750], [0.250, 0.750, 0.250], [0.750, 0.250, 0.250], [0.750, 0.750, 0.750], [0.250, 0.250, 0.250], [0.250, 0.750, 0.750], [0.750, 0.250, 0.750], [0.750, 0.750, 0.250]], "ef_ev_per_atom": -0.27}

***

Record 7
{"formula": "ScAgTe2", "functional": "PBE-GGA", "state": "optimized geometry", "lattice": [[4.428, 0.000, 0.000], [-2.214, 3.835, 0.000], [0.000, 0.000, 21.589]], "species": ["Sc", "Sc", "Sc", "Ag", "Ag", "Ag", "Te", "Te", "Te", "Te", "Te", "Te"], "fractional_positions": [[0.000, 0.000, 0.000], [0.333, 0.667, 0.667], [0.667, 0.333, 0.333], [0.000, 0.000, 0.742], [0.333, 0.667, 0.409], [0.667, 0.333, 0.076], [0.000, 0.000, 0.266], [0.000, 0.000, 0.445], [0.333, 0.667, 0.112], [0.333, 0.667, 0.933], [0.667, 0.333, 0.599], [0.667, 0.333, 0.779]], "e_form_raw_ev_per_fu": -2.13}

***

Record 8
{"formula": "PmIrCl", "functional": "PBE-GGA", "state": "optimized geometry", "lattice": [[7.447, 0.000, 0.000], [0.000, 4.303, 0.000], [-0.358, 0.000, 10.594]], "species": ["Pm", "Pm", "Pm", "Pm", "Ir", "Ir", "Ir", "Ir", "Cl", "Cl", "Cl", "Cl"], "fractional_positions": [[0.009, 0.000, 0.180], [0.491, 0.500, 0.820], [0.509, 0.500, 0.180], [0.991, 0.000, 0.820], [0.166, 0.500, 0.995], [0.334, 0.000, 0.005], [0.666, 0.000, 0.995], [0.834, 0.500, 0.005], [0.182, 0.500, 0.333], [0.318, 0.000, 0.667], [0.682, 0.000, 0.333], [0.818, 0.500, 0.667]], "e_form_raw_ev_per_fu": -4.18}

***

Record 9
{"formula": "Tb2NpGa9", "functional": "PBE-GGA", "state": "optimized geometry", "lattice": [[4.266, 0.000, 0.000], [0.000, 4.266, 0.000], [0.000, 0.000, 12.873]], "species": ["Tb", "Tb", "Np", "Ga", "Ga", "Ga", "Ga", "Ga", "Ga", "Ga", "Ga", "Ga"], "fractional_positions": [[0.000, 0.000, 0.166], [0.000, 0.000, 0.834], [0.000, 0.000, 0.500], [0.000, 0.500, 0.000], [0.000, 0.500, 0.335], [0.000, 0.500, 0.665], [0.500, 0.000, 0.000], [0.500, 0.000, 0.335], [0.500, 0.000, 0.665], [0.500, 0.500, 0.168], [0.500, 0.500, 0.500], [0.500, 0.500, 0.832]], "ef_ev_per_atom": -0.43}

***

Record 10
{"formula": "HoNbPt6", "functional": "PBE-GGA", "state": "optimized geometry", "lattice": [[4.054, 0.000, 0.000], [0.000, 4.054, 0.000], [0.000, 0.000, 8.133]], "species": ["Ho", "Nb", "Pt", "Pt", "Pt", "Pt", "Pt", "Pt"], "fractional_positions": [[0.000, 0.000, 0.000], [0.000, 0.000, 0.500], [0.000, 0.500, 0.263], [0.000, 0.500, 0.737], [0.500, 0.000, 0.263], [0.500, 0.000, 0.737], [0.500, 0.500, 0.000], [0.500, 0.500, 0.500]], "ef_ev_per_atom": -0.86}

***

Record 11
{"formula": "AlHg", "functional": "PBE-GGA", "state": "optimized geometry", "lattice": [[6.131, 0.000, 0.000], [0.000, 6.131, 0.000], [0.000, 0.000, 6.131]], "species": ["Al", "Al", "Al", "Al", "Hg", "Hg", "Hg", "Hg"], "fractional_positions": [[0.000, 0.000, 0.000], [0.000, 0.500, 0.500], [0.500, 0.000, 0.500], [0.500, 0.500, 0.000], [0.250, 0.250, 0.250], [0.250, 0.750, 0.750], [0.750, 0.250, 0.750], [0.750, 0.750, 0.250]], "ef_ev_per_atom": 0.44}

***

Record 12
{"formula": "NaSr2Au", "functional": "PBE-GGA", "state": "optimized geometry", "lattice": [[8.101, 0.000, 0.000], [0.000, 8.101, 0.000], [0.000, 0.000, 8.101]], "species": ["Na", "Na", "Na", "Na", "Sr", "Sr", "Sr", "Sr", "Sr", "Sr", "Sr", "Sr", "Au", "Au", "Au", "Au"], "fractional_positions": [[0.000, 0.000, 0.000], [0.000, 0.500, 0.500], [0.500, 0.000, 0.500], [0.500, 0.500, 0.000], [0.250, 0.250, 0.250], [0.250, 0.250, 0.750], [0.250, 0.750, 0.250], [0.250, 0.750, 0.750], [0.750, 0.250, 0.250], [0.750, 0.250, 0.750], [0.750, 0.750, 0.250], [0.750, 0.750, 0.750], [0.000, 0.000, 0.500], [0.000, 0.500, 0.000], [0.500, 0.000, 0.000], [0.500, 0.500, 0.500]], "polymorph_energy_mev_per_atom": 118, "ef_ev_per_atom": -0.29}

***

Record 13
{"formula": "Fe5GeC", "functional": "PBE-GGA", "state": "optimized geometry", "lattice": [[3.480, 0.000, 0.000], [0.000, 3.480, 0.000], [0.000, 0.000, 6.289]], "species": ["Fe", "Fe", "Fe", "Fe", "Fe", "Ge", "C"], "fractional_positions": [[0.000, 0.000, 0.000], [0.000, 0.500, 0.309], [0.000, 0.500, 0.691], [0.500, 0.000, 0.309], [0.500, 0.000, 0.691], [0.500, 0.500, 0.000], [0.000, 0.000, 0.500]], "ef_ev_per_atom": 0.13}

***

Number 1: calculated volume 576.3 Å³ per cell. Number 2: calculated volume 435.2 Å³ per cell. Number 3: calculated volume 354.1 Å³ per cell. Number 4: calculated volume 242.4 Å³ per cell. Number 5: calculated volume 392.0 Å³ per cell. Number 6: calculated volume 463.0 Å³ per cell. Number 7: calculated volume 366.6 Å³ per cell. Number 8: calculated volume 339.4 Å³ per cell. Number 9: calculated volume 234.2 Å³ per cell. Number 10: calculated volume 133.7 Å³ per cell. Number 11: calculated volume 230.5 Å³ per cell. Number 12: calculated volume 531.7 Å³ per cell. Number 13: calculated volume 76.2 Å³ per cell.